A relaxed structure of SiHg2Pt. Source: Alexandria, functional PBE.

```
data_SiHg2Pt
_chemical_formula_sum 'Si3 Hg6 Pt3'
_symmetry_space_group_name_H-M 'R -3 m'
_symmetry_Int_Tables_number 166
_symmetry_space_group_name_Hall '-R 3 2"'
_cell_length_a 2.9394
_cell_length_b 2.9394
_cell_length_c 31.1477
_cell_angle_alpha 90.00
_cell_angle_beta 90.00
_cell_angle_gamma 120.00
loop_
_atom_site_label
_atom_site_type_symbol
_atom_site_fract_x
_atom_site_fract_y
_atom_site_fract_z
Si1 Si 0.0000 0.0000 0.0000
Hg1 Hg 0.0000 0.0000 0.2453
Pt1 Pt 0.0000 0.0000 0.5000
```

Output
- uncorrected formation energy (eV/atom) = 0.3606
- theoretical density (g/cm3) = 13.3
- Fermi-level density of states (states/eV per atom) = 0.516